w | Density functional theory data (PBE) for an optimized crystal structure of LiSnSb.

a b c (Å): 5.054 4.542 7.116
angles (deg): 90.00 107.40 90.00
Space group P2_1/m (No. 11)
Symmetry-distinct sites (fractional):
Li 0.218 0.250 0.472 x2
Sn 0.236 0.750 0.114 x2
Sb 0.362 0.750 0.730 x2

Fermi-level density of states = 0.7 states/eV/cell


x | Density functional theory data (PBE) for an optimized crystal structure of LiSnSb.

a b c (Å): 5.3785 5.3785 18.2038
angles (deg): 90.00 90.00 120.00
Space group R-3m (No. 166, hexagonal axes)
Symmetry-distinct sites (fractional):
Li 0.0000 0.0000 0.0847 x6
Sn 0.0000 0.0000 0.2411 x6
Sb 0.0000 0.0000 0.4061 x6

Fermi-level density of states = 7.4 states/eV/cell


Most stable structure - w; separation to the second - 142 meV/atom.


w | Density functional theory data (PBE) for an optimized crystal structure of LiSnSb.

a b c (Å): 6.626 6.834 6.762
angles (deg): 90.00 90.00 90.00
Space group Ama2 (No. 40)
Symmetry-distinct sites (fractional):
Li 0.000 0.000 0.000 x4
Sn 0.250 0.190 0.684 x4
Sb 0.250 0.251 0.235 x4

Fermi-level density of states = 1.0 states/eV/cell


x | Density functional theory data (PBE) for an optimized crystal structure of LiSnSb.

a b c (Å): 6.635 6.888 6.806
angles (deg): 90.00 107.28 90.00
Space group P2_1/c (No. 14)
Symmetry-distinct sites (fractional):
Li 0.129 0.173 0.017 x4
Sn 0.481 0.689 0.635 x4
Sb 0.157 0.550 0.870 x4

Fermi-level density of states = 4.0 states/eV/cell


y | Density functional theory data (PBE) for an optimized crystal structure of LiSnSb.

a b c (Å): 8.230 4.649 8.227
angles (deg): 90.00 109.41 90.00
Space group Cm (No. 8)
Symmetry-distinct sites (fractional):
Li 0.000 0.000 0.000 x2
Li 0.234 0.500 0.214 x2
Sn 0.118 0.500 0.819 x2
Sn 0.134 0.000 0.406 x2
Sb 0.353 0.000 0.077 x2
Sb 0.359 0.500 0.593 x2

Fermi-level density of states = 1.0 states/eV/cell


Most stable structure - y; separation to the second - 32 meV/atom.


w | Density functional theory data (PBE) for an optimized crystal structure of Li2Sn2Sb.

a b c (Å): 4.990 4.434 10.927
angles (deg): 90.00 98.78 90.00
Space group P2_1/m (No. 11)
Symmetry-distinct sites (fractional):
Li 0.228 0.250 0.489 x2
Li 0.269 0.250 0.847 x2
Sn 0.198 0.750 0.015 x2
Sn 0.278 0.750 0.297 x2
Sb 0.306 0.750 0.673 x2

Fermi-level density of states = 3.6 states/eV/cell


x | Density functional theory data (PBE) for an optimized crystal structure of Li2Sn2Sb.

a b c (Å): 7.197 7.197 4.334
angles (deg): 90.00 90.00 90.00
Space group P4/mbm (No. 127)
Symmetry-distinct sites (fractional):
Li 0.139 0.361 0.000 x4
Sn 0.163 0.663 0.500 x4
Sb 0.000 0.000 0.000 x2

Fermi-level density of states = 4.2 states/eV/cell


y | Density functional theory data (PBE) for an optimized crystal structure of Li2Sn2Sb.

a b c (Å): 4.320 4.320 12.828
angles (deg): 90.00 90.00 90.00
Space group I4/mmm (No. 139)
Symmetry-distinct sites (fractional):
Li 0.000 0.500 0.250 x4
Sn 0.000 0.000 0.108 x4
Sb 0.000 0.000 0.500 x2

Fermi-level density of states = 2.8 states/eV/cell


Most stable structure - w; separation to the second - 84 meV/atom.


w | Density functional theory data (PBE) for an optimized crystal structure of Li3SnSb.

a b c (Å): 6.512 4.589 7.614
angles (deg): 90.00 109.62 90.00
Space group P2_1/m (No. 11)
Symmetry-distinct sites (fractional):
Li 0.141 0.250 0.020 x2
Li 0.348 0.250 0.429 x2
Li 0.355 0.750 0.813 x2
Sn 0.033 0.250 0.635 x2
Sb 0.347 0.750 0.206 x2

Fermi-level density of states = 1.6 states/eV/cell


x | Density functional theory data (PBE) for an optimized crystal structure of Li3SnSb.

a b c (Å): 5.080 5.080 5.080
angles (deg): 90.00 90.00 90.00
Space group Pm-3m (No. 221)
Symmetry-distinct sites (fractional):
Li 0.000 0.000 0.500 x3
Sn 0.500 0.500 0.500 x1
Sb 0.000 0.000 0.000 x1

Fermi-level density of states = 2.9 states/eV/cell


y | Density functional theory data (PBE) for an optimized crystal structure of Li3SnSb.

a b c (Å): 7.554 7.328 10.063
angles (deg): 90.00 129.35 90.00
Space group P2_1/c (No. 14)
Symmetry-distinct sites (fractional):
Li 0.013 0.148 0.181 x4
Li 0.271 0.674 0.706 x4
Li 0.379 0.082 0.826 x4
Sn 0.329 0.563 0.013 x4
Sb 0.233 0.177 0.026 x4

Fermi-level density of states = 6.2 states/eV/cell


Most stable structure - w; separation to the second - 77 meV/atom.


w | Density functional theory data (PBE) for an optimized crystal structure of Li7SnSb4.

a b c (Å): 5.502 6.591 7.699
angles (deg): 75.25 89.48 76.57
Space group P-1 (No. 2)
Symmetry-distinct sites (fractional):
Li 0.000 0.000 0.000 x1
Li 0.201 0.309 0.630 x2
Li 0.247 0.498 0.937 x2
Li 0.326 0.811 0.576 x2
Sn 0.500 0.000 0.000 x1
Sb 0.170 0.211 0.284 x2
Sb 0.305 0.635 0.260 x2

Fermi-level density of states = 2.9 states/eV/cell


x | Density functional theory data (PBE) for an optimized crystal structure of Li7SnSb4.

a b c (Å): 12.198 5.099 10.242
angles (deg): 90.00 124.50 90.00
Space group C2/m (No. 12)
Symmetry-distinct sites (fractional):
Li 0.000 0.000 0.000 x2
Li 0.087 0.500 0.440 x4
Li 0.180 0.000 0.899 x4
Li 0.225 0.000 0.648 x4
Sn 0.000 0.500 0.000 x2
Sb 0.105 0.000 0.311 x4
Sb 0.199 0.500 0.773 x4

Fermi-level density of states = 8.6 states/eV/cell


Most stable structure - w; separation to the second - 78 meV/atom.


w | Density functional theory data (PBE) for an optimized crystal structure of Li4SnSb.

a b c (Å): 4.570 4.570 6.725
angles (deg): 90.00 90.00 90.00
Space group P4/mmm (No. 123)
Symmetry-distinct sites (fractional):
Li 0.000 0.500 0.223 x4
Sn 0.000 0.000 0.500 x1
Sb 0.500 0.500 0.000 x1

Fermi-level density of states = 2.8 states/eV/cell


x | Density functional theory data (PBE) for an optimized crystal structure of Li4SnSb.

a b c (Å): 4.993 5.646 8.668
angles (deg): 90.00 93.61 90.00
Space group P2_1/m (No. 11)
Symmetry-distinct sites (fractional):
Li 0.150 0.250 0.108 x2
Li 0.277 0.013 0.746 x4
Li 0.277 0.250 0.450 x2
Sn 0.366 0.750 0.019 x2
Sb 0.223 0.750 0.352 x2

Fermi-level density of states = 2.1 states/eV/cell


Most stable structure - x; separation to the second - 142 meV/atom.


w | Density functional theory data (PBE) for an optimized crystal structure of SrLi3Sb.

a b c (Å): 5.431 5.431 5.431
angles (deg): 90.00 90.00 90.00
Space group Pm-3m (No. 221)
Symmetry-distinct sites (fractional):
Sr 0.000 0.000 0.000 x1
Li 0.000 0.000 0.500 x3
Sb 0.500 0.500 0.500 x1

Fermi-level density of states = 2.0 states/eV/cell


x | Density functional theory data (PBE) for an optimized crystal structure of SrLi3Sb.

a b c (Å): 5.251 5.251 5.251
angles (deg): 90.00 90.00 90.00
Space group Pm-3m (No. 221)
Symmetry-distinct sites (fractional):
Sr 0.000 0.000 0.000 x1
Li 0.000 0.500 0.500 x3
Sb 0.500 0.500 0.500 x1

Fermi-level density of states = 2.3 states/eV/cell


Most stable structure - x; separation to the second - 1046 meV/atom.


w | Density functional theory data (PBE) for an optimized crystal structure of Sr2Li2Sb.

a b c (Å): 7.657 7.657 5.057
angles (deg): 90.00 90.00 90.00
Space group P4/mbm (No. 127)
Symmetry-distinct sites (fractional):
Sr 0.191 0.309 0.000 x4
Li 0.128 0.628 0.500 x4
Sb 0.000 0.000 0.500 x2

Fermi-level density of states = 9.2 states/eV/cell


x | Density functional theory data (PBE) for an optimized crystal structure of Sr2Li2Sb.

a b c (Å): 6.348 6.348 7.810
angles (deg): 90.00 90.00 90.00
Space group I4/mmm (No. 139)
Symmetry-distinct sites (fractional):
Sr 0.000 0.500 0.250 x4
Li 0.000 0.000 0.158 x4
Sb 0.000 0.000 0.500 x2

Fermi-level density of states = 9.9 states/eV/cell


Most stable structure - w; separation to the second - 150 meV/atom.


w | Density functional theory data (PBE) for an optimized crystal structure of Sr2LiSb2.

a b c (Å): 6.545 6.545 8.897
angles (deg): 90.00 90.00 90.00
Space group I4/mmm (No. 139)
Symmetry-distinct sites (fractional):
Sr 0.000 0.500 0.250 x4
Li 0.000 0.000 0.000 x2
Sb 0.000 0.000 0.321 x4

Fermi-level density of states = 5.6 states/eV/cell


x | Density functional theory data (PBE) for an optimized crystal structure of Sr2LiSb2.

a b c (Å): 6.980 13.769 6.745
angles (deg): 90.00 90.00 90.00
Space group Ibam (No. 72)
Symmetry-distinct sites (fractional):
Sr 0.207 0.139 0.000 x8
Li 0.000 0.500 0.250 x4
Sb 0.223 0.386 0.000 x8

Fermi-level density of states = 16.4 states/eV/cell


Most stable structure - x; separation to the second - 353 meV/atom.


w | Density functional theory data (PBE) for an optimized crystal structure of Sr2LiSb2.

a b c (Å): 8.084 8.084 4.891
angles (deg): 90.00 90.00 90.00
Space group P4/mbm (No. 127)
Symmetry-distinct sites (fractional):
Sr 0.173 0.327 0.000 x4
Li 0.000 0.000 0.500 x2
Sb 0.130 0.630 0.500 x4

Fermi-level density of states = 2.5 states/eV/cell


x | Density functional theory data (PBE) for an optimized crystal structure of Sr2LiSb2.

a b c (Å): 9.617 9.617 3.703
angles (deg): 90.00 90.00 90.00
Space group P4/mbm (No. 127)
Symmetry-distinct sites (fractional):
Sr 0.134 0.366 0.000 x4
Li 0.000 0.000 0.000 x2
Sb 0.167 0.667 0.500 x4

Fermi-level density of states = 7.5 states/eV/cell


Most stable structure - w; separation to the second - 159 meV/atom.